1.
The following is a PBE calculation of a relaxed structure of La3Nb2N7, from the Alexandria database.

- crystal system = orthorhombic
- E_form (uncorrected) (eV per atom) = -0.921
- size of the total moment (μB per cell) = 0.00

Cell and atoms, written as POSCAR:
```
La3Nb2N7
1.0
-3.180 2.175 0.462
-2.390 -3.347 -0.691
1.223 -0.504 10.792
La Nb N
3 2 7
direct
0.500 0.500 0.000 La
0.500 0.684 0.369 La
0.500 0.316 0.631 La
0.000 0.907 0.813 Nb
0.000 0.093 0.187 Nb
0.000 0.404 0.808 N
0.000 0.766 0.533 N
0.000 0.000 0.000 N
0.000 0.596 0.192 N
0.500 0.117 0.235 N
0.500 0.883 0.765 N
0.000 0.234 0.467 N
```

***

2.
The following is a PBE calculation of a relaxed structure of Tb3GaB2Pt8, from the Alexandria database.

- energy of formation (eV/f.u.) = -11.0
- crystal system = trigonal
- size of the total moment (μB per cell) = 0.00

Cell and atoms, written as POSCAR:
```
Tb3GaB2Pt8
1.0
5.460 0.000 0.000
-2.730 4.729 0.000
0.000 0.000 9.510
Tb Ga B Pt
3 1 2 8
direct
0.333 0.667 0.589 Tb
0.667 0.333 0.411 Tb
0.000 0.000 0.000 Tb
0.000 0.000 0.500 Ga
0.333 0.667 0.129 B
0.667 0.333 0.871 B
0.333 0.667 0.920 Pt
0.667 0.333 0.080 Pt
0.167 0.833 0.280 Pt
0.833 0.167 0.720 Pt
0.167 0.334 0.280 Pt
0.833 0.666 0.720 Pt
0.666 0.833 0.280 Pt
0.334 0.167 0.720 Pt
```